## MgTaVO6 (GGA+U)

Data for an optimized crystal structure of MgTaVO6.

extended XYZ file:
```
18
Lattice="4.699 0.000 0.000 0.000 4.699 0.000 0.000 0.000 9.006" Properties=species:S:1:pos:R:3 pbc="T T T"
Mg 0.000 0.000 0.000
Mg 2.350 2.350 4.503
Ta 0.000 0.000 6.011
Ta 2.350 2.350 1.508
V 0.000 0.000 2.980
V 2.350 2.350 7.482
O 0.876 0.876 4.405
O 0.931 0.931 1.608
O 0.986 0.986 7.392
O 1.363 3.336 2.889
O 1.419 3.280 6.111
O 1.473 3.226 8.908
O 3.226 1.473 8.908
O 3.280 1.419 6.111
O 3.336 1.363 2.889
O 3.713 3.713 7.392
O 3.768 3.768 1.608
O 3.823 3.823 4.405
```

Summary:
calculated volume	198.8	Å³/cell
VASP energy	-8.038	eV per atom